Ca2SmIn, relaxed, DFT PBE; ΔE_f = -0.121 eV per atom; total energy = -2.9859 eV per atom; space group = P4/mmm, No. 123; relative energy among the computed polymorphs = 115 meV per atom; total moment = 0.00 Bohr magnetons per cell; Fermi-level density of states = 3.7 states/eV/cell
1.0
-3.685 -0.546 -1.898
1.970 -0.735 -3.613
0.247 -7.300 1.619
Sm In Ca
1 1 2
Cartesian
-0.734 -4.290 -1.946 Sm
-0.857 -0.640 -2.756 In
0.191 -5.628 1.248 Ca
0.057 -1.671 0.371 Ca

=====

NdEr6In2, relaxed, DFT PBE; ΔE_f = -0.196 eV per atom; total energy = -4.3757 eV per atom; space group = C2/m, No. 12; total moment = 0.00 Bohr magnetons per cell; Fermi-level density of states = 11.9 states/eV/cell
1.0
-1.546 0.026 -3.390
-6.407 -1.206 0.864
-5.140 10.652 0.376
In Er Nd
2 6 1
Cartesian
-10.959 7.233 -1.092 In
-2.134 2.239 -1.058 In
-8.173 8.717 -0.303 Er
-5.438 6.572 0.481 Er
-8.582 5.240 -0.143 Er
-4.920 0.755 -1.846 Er
-7.654 2.900 -2.631 Er
-4.511 4.232 -2.007 Er
0.000 0.000 0.000 Nd

=====

Tb2Zr3TaN6, relaxed, DFT PBE; total energy = -9.6021 eV per atom; space group = C2/m, No. 12; formation energy from raw total energies = -18.52 eV per formula unit; total moment = 0.00 Bohr magnetons per cell; Fermi-level density of states = 4.0 states/eV/cell
1.0
-1.896 2.368 -4.844
-1.186 -5.469 1.162
-3.511 2.549 3.742
N Zr Tb Ta
6 3 2 1
Cartesian
-4.841 -1.693 0.962 N
-3.311 1.161 1.907 N
-3.283 -1.713 -1.847 N
-5.068 0.803 -0.951 N
-1.526 -1.354 1.011 N
-1.752 1.141 -0.902 N
-3.297 -0.276 0.030 Zr
-3.060 -2.887 2.031 Zr
-3.533 2.335 -1.971 Zr
-1.659 -0.249 -2.838 Tb
-1.423 -2.852 -0.844 Tb
0.000 0.000 0.000 Ta

=====

AcEr3Rh, relaxed, DFT PBE; ΔE_f = -0.319 eV per atom; total energy = -5.3482 eV per atom; space group = Pm-3m, No. 221; total moment = 0.00 Bohr magnetons per cell; Fermi-level density of states = 7.1 states/eV/cell
1.0
-1.763 1.471 -4.931
-4.474 -3.013 0.701
-2.542 4.283 2.187
Ac Er Rh
1 3 1
Cartesian
-4.390 1.370 -1.022 Ac
-0.882 0.735 -2.466 Er
-2.237 -1.507 0.351 Er
-1.271 2.142 1.093 Er
0.000 0.000 0.000 Rh

=====

HfCd2Co2, relaxed, DFT PBE; ΔE_f = 0.119 eV per atom; total energy = -5.0806 eV per atom; space group = P4/mbm, No. 127; total moment = 0.00 Bohr magnetons per cell; Fermi-level density of states = 5.1 states/eV/cell
1.0
6.426 0.000 0.000
0.000 6.426 0.000
0.000 0.000 4.109
Cd Co Hf
4 4 2
Cartesian
5.326 2.114 2.054 Cd
4.312 5.326 2.054 Cd
1.099 4.312 2.054 Cd
2.114 1.099 2.054 Cd
5.619 4.019 0.000 Co
4.019 0.807 0.000 Co
2.406 5.619 0.000 Co
0.807 2.406 0.000 Co
3.213 3.213 0.000 Hf
0.000 0.000 0.000 Hf

=====

ScTcSe2, relaxed, DFT PBE; total energy = -6.5769 eV per atom; space group = Pmm2, No. 25; relative energy among the computed polymorphs = 38 meV per atom; formation energy from raw total energies = -2.64 eV per formula unit; total moment = 0.67 Bohr magnetons per cell; Fermi-level density of states = 2.9 states/eV/cell
1.0
4.969 0.000 0.000
0.000 3.538 0.006
0.000 -0.008 4.208
Se Sc Tc
2 1 1
Cartesian
0.000 3.089 3.950 Se
2.485 1.324 1.261 Se
2.485 3.090 3.241 Sc
0.000 1.322 2.080 Tc